No. 1
The following is a PBE-GGA calculation of crystalline Ho8Sb5Pb at its relaxed geometry, from the Alexandria database.

Computed properties:
**Calculated volume**: 27.7 Å³ per atom
**Crystal system**: tetragonal
**Energy relative to the elements, uncorrected**: -0.891 eV per atom
**Total magnetization**: 0.00 Bohr magnetons per cell

a = 9.1983 Å, b = 9.1983 Å, c = 9.1692 Å
α = 90.00°, β = 90.00°, γ = 90.00°
Last column: nearest neighbours and their distance in Å.
Space group I-4 (No. 82)
Inequivalent atoms, fractional coordinates:
Ho (0.0725, 0.1740, 0.1969) x8  5 Sb 3.07-3.30, 1 Pb 3.11
Ho (0.0723, 0.3226, 0.5545) x8  5 Sb 3.06-3.29, 1 Pb 3.30
Sb (0.0000, 0.0000, 0.5000) x2  8 Ho 3.08-3.28
Sb (0.1260, 0.2503, 0.8757) x8  8 Ho 3.06-3.30
Pb (0.0000, 0.5000, 0.2500) x2  8 Ho 3.11-3.30

No. 2
The following is a PBE-GGA calculation of crystalline HoSbPb2 at its relaxed geometry, from the Alexandria database.

Computed properties:
**Calculated volume**: 31.3 Å³ per atom
**Crystal system**: trigonal
**Energy relative to the elements, uncorrected**: 0.192 eV per atom
**Total magnetization**: 0.00 Bohr magnetons per cell

a = 3.4818 Å, b = 3.4818 Å, c = 35.8249 Å
α = 90.00°, β = 90.00°, γ = 120.00°
Last column: nearest neighbours and their distance in Å.
Space group R-3m (No. 166, hexagonal axes)
Inequivalent atoms, fractional coordinates:
Ho (0.0000, 0.0000, 0.0000) x3  2 Pb 3.17, 6 Ho 3.48
Sb (0.0000, 0.0000, 0.5000) x3  6 Pb 3.45, 6 Sb 3.48
Pb (0.0000, 0.0000, 0.0884) x6  1 Ho 3.17, 3 Sb 3.45, 6 Pb 3.48

No. 3
The following is a PBE-GGA calculation of crystalline Ho6SbPb2Se3 at its relaxed geometry, from the Alexandria database.

Computed properties:
**Calculated volume**: 27.1 Å³ per atom
**Crystal system**: monoclinic
**Energy relative to the elements, uncorrected**: -1.198 eV per atom
**Total magnetization**: 0.00 Bohr magnetons per cell

a = 18.4909 Å, b = 4.2492 Å, c = 8.4962 Å
α = 90.00°, β = 102.89°, γ = 90.00°
Last column: nearest neighbours and their distance in Å.
Space group C2/m (No. 12)
Inequivalent atoms, fractional coordinates:
Ho (0.0009, 0.0000, 0.2452) x4  3 Se 2.97, 1 Pb 3.03, 2 Sb 3.04
Ho (0.1638, 0.5000, 0.0889) x4  3 Se 2.95-2.97, 3 Pb 3.05
Ho (0.1684, 0.5000, 0.5780) x4  3 Se 2.96-3.00, 1 Sb 3.04, 2 Pb 3.04
Sb (0.0000, 0.5000, 0.5000) x2  6 Ho 3.04
Pb (0.1671, 0.0000, 0.8332) x4  6 Ho 3.03-3.05
Se (0.0000, 0.5000, 0.0000) x2  6 Ho 2.95-2.97
Se (0.1654, 0.0000, 0.3336) x4  6 Ho 2.96-3.00

- calculated volume of number 3 (Ho6SbPb2Se3)?
  27.1 Å³ per atom

Repeat the second record exactly.
The following is a PBE-GGA calculation of crystalline HoSbPb2 at its relaxed geometry, from the Alexandria database.

Computed properties:
**Calculated volume**: 31.3 Å³ per atom
**Crystal system**: trigonal
**Energy relative to the elements, uncorrected**: 0.192 eV per atom
**Total magnetization**: 0.00 Bohr magnetons per cell

a = 3.4818 Å, b = 3.4818 Å, c = 35.8249 Å
α = 90.00°, β = 90.00°, γ = 120.00°
Last column: nearest neighbours and their distance in Å.
Space group R-3m (No. 166, hexagonal axes)
Inequivalent atoms, fractional coordinates:
Ho (0.0000, 0.0000, 0.0000) x3  2 Pb 3.17, 6 Ho 3.48
Sb (0.0000, 0.0000, 0.5000) x3  6 Pb 3.45, 6 Sb 3.48
Pb (0.0000, 0.0000, 0.0884) x6  1 Ho 3.17, 3 Sb 3.45, 6 Pb 3.48

- Among the records above, which one has the lowest energy relative to the elements, uncorrected?
  Ho6SbPb2Se3